Material: AcLa4Tm5
Method: DFT, PBE
State: optimized geometry

Structure (extended XYZ):
```
10
Lattice="4.157 0.000 0.000 0.000 4.157 0.000 0.000 0.000 19.942" Properties=species:S:1:pos:R:3 pbc="T T T"
Ac 0.000 0.000 0.000
La 0.000 0.000 4.109
La 0.000 0.000 8.015
La 0.000 0.000 11.927
La 0.000 0.000 15.832
Tm 2.079 2.079 2.147
Tm 2.079 2.079 6.058
Tm 2.079 2.079 9.971
Tm 2.079 2.079 13.884
Tm 2.079 2.079 17.795
```

total magnetic moment = 0.000 μB per atom
N(E_F) = 15.1 states/eV per cell
crystal system = tetragonal
total DFT energy (no corrections) = -0.1673 Ha/atom
symmetry = No. 123



Material: Ac3La5Tm12
Method: DFT, PBE
State: optimized geometry

Structure (extended XYZ):
```
80
Lattice="-9.581 9.581 9.581 9.581 -9.581 9.581 9.581 9.581 -9.581" Properties=species:S:1:pos:R:3 pbc="T T T"
Ac 4.790 2.395 0.000
Ac 9.581 4.790 -2.395
Ac 2.395 0.000 4.790
Ac 11.976 0.000 4.790
Ac 0.000 4.790 2.395
Ac 4.790 -2.395 9.581
Ac 4.790 11.976 0.000
Ac 9.581 4.790 7.185
Ac -2.395 9.581 4.790
Ac 7.185 9.581 4.790
Ac 0.000 4.790 11.976
Ac 4.790 7.185 9.581
La 0.000 0.000 0.000
La 4.790 4.790 -4.790
La 4.790 -4.790 4.790
La 9.581 0.000 0.000
La 14.371 2.395 0.000
La 9.581 -4.790 7.185
La 7.185 9.581 -4.790
La 7.185 0.000 4.790
La 4.790 7.185 0.000
La 9.581 4.790 2.395
La -4.790 4.790 4.790
La 0.000 9.581 0.000
La 0.000 0.000 9.581
La 4.790 4.790 4.790
La 0.000 4.790 7.185
La 4.790 2.395 9.581
La 2.395 9.581 4.790
La 2.395 0.000 14.371
La 0.000 14.371 2.395
La -4.790 7.185 9.581
Tm 9.550 -1.467 2.810
Tm 14.401 -1.980 3.323
Tm 2.810 -0.030 1.467
Tm 11.561 6.257 -4.820
Tm 12.391 0.030 1.467
Tm 11.561 -3.323 4.820
Tm 1.467 2.810 -0.030
Tm 12.904 4.760 -1.980
Tm 6.257 4.820 -1.980
Tm 8.113 2.810 0.030
Tm -0.030 1.467 2.810
Tm 4.820 -1.980 6.257
Tm 9.550 8.113 -2.810
Tm 4.820 1.980 3.323
Tm 8.113 -2.810 9.550
Tm 6.257 -4.820 11.561
Tm 3.323 4.820 1.980
Tm 11.048 6.770 0.030
Tm 2.810 9.550 -1.467
Tm 11.561 3.323 4.760
Tm 1.980 3.323 4.820
Tm 2.810 0.030 8.113
Tm 4.820 11.561 -3.323
Tm 9.550 1.467 6.770
Tm 0.030 8.113 2.810
Tm 4.760 -1.980 12.904
Tm 6.770 9.550 1.467
Tm 7.600 6.257 4.760
Tm -1.980 6.257 4.820
Tm 6.770 0.030 11.048
Tm -1.467 2.810 9.550
Tm 6.257 4.760 7.600
Tm 3.323 14.401 -1.980
Tm 1.467 12.391 0.030
Tm 4.760 7.600 6.257
Tm 0.030 1.467 12.391
Tm 4.760 11.561 3.323
Tm 9.611 8.113 6.770
Tm 1.467 6.770 9.550
Tm 3.323 4.760 11.561
Tm -3.323 4.820 11.561
Tm 8.113 6.770 9.611
Tm -1.980 12.904 4.760
Tm -2.810 9.550 8.113
Tm -1.980 3.323 14.401
Tm 6.770 9.611 8.113
Tm -4.820 11.561 6.257
Tm 0.030 11.048 6.770
```

total magnetic moment = 0.000 μB per atom
N(E_F) = 155.7 states/eV per cell
crystal system = cubic
total DFT energy (no corrections) = -0.1287 Ha/atom
symmetry = No. 230



Material: Ac2La5Tm4
Method: DFT, PBE
State: optimized geometry

Structure (extended XYZ):
```
11
Lattice="-1.871 2.578 20.371 1.871 -2.578 20.371 1.871 2.578 -20.371" Properties=species:S:1:pos:R:3 pbc="T T T"
Ac 0.000 0.000 3.708
Ac 0.000 0.000 37.034
La 0.000 0.000 0.000
La 0.000 0.000 11.117
La 0.000 0.000 14.682
La 0.000 0.000 26.060
La 0.000 0.000 29.624
Tm 0.000 0.000 7.458
Tm 0.000 0.000 18.578
Tm 0.000 0.000 22.164
Tm 0.000 0.000 33.283
```

total magnetic moment = 0.000 μB per atom
N(E_F) = 17.4 states/eV per cell
crystal system = orthorhombic
total DFT energy (no corrections) = -0.1680 Ha/atom
symmetry = No. 71



Material: AcLa3Tm
Method: DFT, PBE
State: optimized geometry

Structure (extended XYZ):
```
10
Lattice="9.582 0.000 0.000 0.000 3.794 0.000 -4.768 0.000 10.531" Properties=species:S:1:pos:R:3 pbc="T T T"
Ac 1.881 0.000 0.007
Ac 2.933 0.000 10.523
La -2.981 1.897 7.094
La 1.810 1.897 3.443
La 0.015 1.897 8.846
La 4.799 1.897 1.684
La 3.005 1.897 7.088
La 7.795 1.897 3.436
Tm 0.009 0.000 5.896
Tm 4.805 0.000 4.634
```

total magnetic moment = 0.000 μB per atom
offset from the most stable computed form = 0.000 eV per atom
N(E_F) = 17.5 states/eV per cell
crystal system = monoclinic
symmetry = No. 10



Material: AcLaTm2
Method: DFT, PBE
State: optimized geometry

Structure (extended XYZ):
```
4
Lattice="1.853 1.070 11.853 -1.853 1.070 11.853 0.000 -2.139 11.853" Properties=species:S:1:pos:R:3 pbc="T T T"
Ac 0.000 0.000 0.000
La 0.000 0.000 5.909
Tm 0.000 0.000 20.639
Tm 0.000 0.000 26.745
```

total magnetic moment = 0.000 μB per atom
offset from the most stable computed form = 0.029 eV per atom
N(E_F) = 6.2 states/eV per cell
crystal system = trigonal
symmetry = No. 160



Material: AcLa12Tm7
Method: DFT, PBE
State: optimized geometry

Structure (extended XYZ):
```
20
Lattice="6.219 3.591 5.210 -6.219 3.591 5.210 0.000 -7.181 5.210" Properties=species:S:1:pos:R:3 pbc="T T T"
Ac 0.000 0.000 0.000
La -2.115 -2.192 6.490
La -3.624 1.105 6.061
La -2.769 -2.586 9.571
La 0.855 -3.691 6.061
La -2.956 0.735 9.141
La -0.841 2.928 6.490
La 0.841 -2.928 9.141
La 2.956 -0.735 6.490
La -0.855 3.691 9.571
La 2.769 2.586 6.061
La 3.624 -1.105 9.571
La 2.115 2.192 9.141
Tm -0.516 -1.985 3.078
Tm -1.461 1.440 3.078
Tm 1.977 0.546 3.078
Tm 0.000 0.000 7.816
Tm -1.977 -0.546 12.554
Tm 1.461 -1.440 12.554
Tm 0.516 1.985 12.554
```

total magnetic moment = 0.000 μB per atom
offset from the most stable computed form = 0.000 eV per atom
N(E_F) = 33.1 states/eV per cell
crystal system = trigonal
symmetry = No. 148



Material: Ac2La5Tm3
Method: DFT, PBE
State: optimized geometry

Structure (extended XYZ):
```
20
Lattice="5.535 -7.447 0.000 5.535 7.447 0.000 -5.527 0.000 8.970" Properties=species:S:1:pos:R:3 pbc="T T T"
Ac 1.357 1.816 0.489
Ac -1.407 -1.816 4.974
Ac 6.950 1.816 3.996
Ac 4.186 -1.816 8.480
La -1.367 1.810 6.779
La 1.389 3.911 6.727
La 4.153 3.329 2.242
La 1.397 -1.810 2.294
La 4.153 0.198 2.242
La 1.389 -0.198 6.727
La 4.145 1.810 6.675
La 1.389 -3.329 6.727
La 4.153 -3.911 2.242
La 6.909 -1.810 2.190
Tm 1.389 7.076 6.727
Tm 1.315 1.843 3.942
Tm -1.449 -1.843 8.427
Tm 6.991 1.843 0.543
Tm 4.228 -1.843 5.028
Tm 4.153 -7.076 2.242
```

total magnetic moment = 0.000 μB per atom
N(E_F) = 34.4 states/eV per cell
crystal system = monoclinic
total DFT energy (no corrections) = -0.1634 Ha/atom
symmetry = No. 15



Material: Ac9La2Tm
Method: DFT, PBE
State: optimized geometry

Structure (extended XYZ):
```
12
Lattice="5.524 0.000 0.000 0.000 5.524 0.000 0.000 0.000 16.629" Properties=species:S:1:pos:R:3 pbc="T T T"
Ac 0.000 0.000 0.000
Ac 0.000 0.000 5.514
Ac 0.000 0.000 11.115
Ac 0.000 2.762 2.718
Ac 0.000 2.762 8.315
Ac 0.000 2.762 13.911
Ac 2.762 0.000 2.718
Ac 2.762 0.000 8.315
Ac 2.762 0.000 13.911
La 2.762 2.762 5.514
La 2.762 2.762 11.115
Tm 2.762 2.762 0.000
```

total magnetic moment = 0.000 μB per atom
N(E_F) = 21.2 states/eV per cell
crystal system = tetragonal
total DFT energy (no corrections) = -0.1562 Ha/atom
symmetry = No. 123



Material: AcLaTm2
Method: DFT, PBE
State: optimized geometry

Structure (extended XYZ):
```
4
Lattice="5.364 0.000 0.000 0.000 5.364 0.000 0.000 0.000 4.879" Properties=species:S:1:pos:R:3 pbc="T T T"
Ac 0.000 0.000 0.000
La 2.682 2.682 0.000
Tm 0.000 2.682 2.440
Tm 2.682 0.000 2.440
```

total magnetic moment = 0.000 μB per atom
offset from the most stable computed form = 0.000 eV per atom
N(E_F) = 5.3 states/eV per cell
crystal system = tetragonal
symmetry = No. 123



Material: Ac8La6Tm
Method: DFT, PBE
State: optimized geometry

Structure (extended XYZ):
```
15
Lattice="10.141 0.000 0.000 -5.071 8.783 0.000 0.000 0.000 7.218" Properties=species:S:1:pos:R:3 pbc="T T T"
Ac -1.379 2.907 2.744
Ac -1.864 8.523 2.744
Ac 1.828 2.647 4.474
Ac 0.000 5.855 5.180
Ac 5.071 2.928 2.038
Ac 3.243 6.135 2.744
Ac 6.935 0.259 4.474
Ac 6.449 5.876 4.474
La -2.846 5.882 0.745
La 1.400 3.377 0.745
La 3.625 0.476 6.473
La 1.446 8.306 0.745
La 3.671 5.406 6.473
La 7.917 2.901 6.473
Tm 0.000 0.000 0.000
```

total magnetic moment = 0.000 μB per atom
N(E_F) = 20.9 states/eV per cell
crystal system = trigonal
total DFT energy (no corrections) = -0.1559 Ha/atom
symmetry = No. 147



Material: Ac2LaTm
Method: DFT, PBE
State: optimized geometry

Structure (extended XYZ):
```
4
Lattice="0.000 4.288 4.288 4.288 0.000 4.288 4.288 4.288 0.000" Properties=species:S:1:pos:R:3 pbc="T T T"
Ac 2.144 2.144 2.144
Ac 6.433 6.433 6.433
La 0.000 0.000 0.000
Tm 4.288 4.288 4.288
```

total magnetic moment = 0.001 μB per atom
offset from the most stable computed form = 0.100 eV per atom
N(E_F) = 9.6 states/eV per cell
crystal system = cubic
symmetry = No. 225



Material: AcLa3Tm3
Method: DFT, PBE
State: optimized geometry

Structure (extended XYZ):
```
14
Lattice="4.792 2.767 6.362 -4.792 2.767 6.362 0.000 -5.533 6.362" Properties=species:S:1:pos:R:3 pbc="T T T"
Ac 0.000 0.000 1.754
Ac 0.000 0.000 17.331
La -2.063 0.356 8.079
La -1.340 -1.608 11.006
La 0.723 -1.965 8.079
La -0.723 1.965 11.006
La 1.340 1.608 8.079
La 2.063 -0.356 11.006
Tm -2.018 0.405 4.590
Tm 0.658 -1.950 4.590
Tm 1.360 1.545 4.590
Tm -1.360 -1.545 14.495
Tm -0.658 1.950 14.495
Tm 2.018 -0.405 14.495
```

total magnetic moment = 0.000 μB per atom
N(E_F) = 19.9 states/eV per cell
crystal system = trigonal
total DFT energy (no corrections) = -0.1636 Ha/atom
symmetry = No. 148